VASP calculation (PBE) on crystalline LaHgAu2 at its relaxed geometry.

E_tot: -3.569 eV/atom
space-group type: Pmmn (59)
formation enthalpy at 0 K: -0.63 eV/atom

a b c (Å): 5.138 6.857 5.300
angles (deg): 90.00 90.00 90.00
Fractional positions:
La 0.250 0.250 0.181
La 0.750 0.750 0.819
Hg 0.250 0.750 0.211
Hg 0.750 0.250 0.789
Au 0.250 0.501 0.683
Au 0.250 0.999 0.683
Au 0.750 0.001 0.317
Au 0.750 0.499 0.317

VASP calculation (PBE) on crystalline Tb2ErCd3AgAu2 at its relaxed geometry.

E_tot: -3.455 eV/atom
space-group type: Amm2 (38)
formation enthalpy at 0 K: -0.58 eV/atom

a b c (Å): 3.848 7.851 7.851
angles (deg): 119.84 90.00 90.00
Fractional positions:
Tb 0.000 0.204 0.796
Tb 0.000 0.796 0.204
Er 0.000 0.612 0.612
Cd 0.500 0.205 0.466
Cd 0.500 0.466 0.205
Cd 0.500 0.942 0.942
Ag 0.000 0.205 0.205
Au 0.500 0.538 0.868
Au 0.500 0.868 0.538

VASP calculation (PBE) on crystalline MgNi at its relaxed geometry.

E_tot: -3.721 eV/atom
space-group type: Pmma (51)

a b c (Å): 4.308 2.966 4.307
angles (deg): 90.00 90.00 90.00
Fractional positions:
Mg 0.250 0.000 0.241
Mg 0.750 0.000 0.759
Ni 0.250 0.500 0.738
Ni 0.750 0.500 0.262

Please write out number 2 again, unchanged.
VASP calculation (PBE) on crystalline Tb2ErCd3AgAu2 at its relaxed geometry.

E_tot: -3.455 eV/atom
space-group type: Amm2 (38)
formation enthalpy at 0 K: -0.58 eV/atom

a b c (Å): 3.848 7.851 7.851
angles (deg): 119.84 90.00 90.00
Fractional positions:
Tb 0.000 0.204 0.796
Tb 0.000 0.796 0.204
Er 0.000 0.612 0.612
Cd 0.500 0.205 0.466
Cd 0.500 0.466 0.205
Cd 0.500 0.942 0.942
Ag 0.000 0.205 0.205
Au 0.500 0.538 0.868
Au 0.500 0.868 0.538

Please write out number 3 again, unchanged.
VASP calculation (PBE) on crystalline MgNi at its relaxed geometry.

E_tot: -3.721 eV/atom
space-group type: Pmma (51)

a b c (Å): 4.308 2.966 4.307
angles (deg): 90.00 90.00 90.00
Fractional positions:
Mg 0.250 0.000 0.241
Mg 0.750 0.000 0.759
Ni 0.250 0.500 0.738
Ni 0.750 0.500 0.262

Among the records above, which one has the highest E_tot? Tb2ErCd3AgAu2

Look up the E_tot of the second one. -3.455 eV/atom